A relaxed structure of CsBaI3. Source: Alexandria, functional PBE.

Geometry as CIF:
```
data_CsBaI3
_symmetry_space_group_name_H-M 'P 4 m m'
_symmetry_Int_Tables_number 99
_cell_length_a 6.805
_cell_length_b 6.805
_cell_length_c 6.872
_cell_angle_alpha 90.00
_cell_angle_beta 90.00
_cell_angle_gamma 90.00
loop_
_symmetry_equiv_pos_as_xyz
'x,y,z'
'-y,x,z'
'-x,-y,z'
'y,-x,z'
'-x,y,z'
'y,x,z'
'x,-y,z'
'-y,-x,z'
loop_
_atom_site_label
_atom_site_type_symbol
_atom_site_fract_x
_atom_site_fract_y
_atom_site_fract_z
_atom_site_occupancy
Cs1 Cs 0.000 0.000 0.000 1
Ba1 Ba 0.500 0.500 0.368 1
I1 I 0.000 0.500 0.315 1
I2 I 0.500 0.500 0.862 1
```

Calculated values
- Formation energy without anion corrections: -1.65 eV/atom